Record 1
Computed, not measured: a relaxed structure of Mg3Ag at the PBE level of DFT.

```
24
Lattice="8.1775 0.0000 0.0000 -4.0887 7.0819 0.0000 0.0000 0.0000 8.5458" Properties=species:S:1:pos:R:3 pbc="T T T"
Mg 0.0000 0.0000 0.0000
Mg 0.0000 0.0000 4.2729
Mg -1.1476 1.9877 6.4155
Mg -1.5324 2.6541 0.7838
Mg -2.5564 4.4278 5.0567
Mg -2.9411 5.0942 2.1426
Mg 2.2952 0.0000 6.4155
Mg 1.1476 1.9877 2.1426
Mg 0.0000 4.7213 3.0771
Mg 0.0000 4.7213 7.3500
Mg 3.0647 0.0000 0.7838
Mg 1.5324 2.6541 5.0567
Mg 5.1127 0.0000 5.0567
Mg 2.5564 4.4278 0.7838
Mg 4.0887 2.3606 3.0771
Mg 4.0887 2.3606 7.3500
Mg 5.8823 0.0000 2.1426
Mg 2.9411 5.0942 6.4155
Ag -1.3444 2.3286 3.6065
Ag -2.7443 4.7533 7.8793
Ag 2.6888 0.0000 3.6065
Ag 1.3444 2.3286 7.8793
Ag 5.4886 0.0000 7.8793
Ag 2.7443 4.7533 3.6065
```

Properties
- Raw total energy: -2.0097 eV/atom
- Space group: No. 185

Record 2
Computed, not measured: a relaxed structure of Mg3Ag at the PBE level of DFT.

```
8
Lattice="3.0725 -5.2873 0.0000 3.0725 5.2873 0.0000 0.0000 0.0000 4.9446" Properties=species:S:1:pos:R:3 pbc="T T T"
Mg 3.0725 4.3793 3.7084
Mg 1.5728 1.6836 3.7084
Mg 1.5728 -1.6836 1.2361
Mg 4.5722 1.6836 3.7084
Mg 4.5722 -1.6836 1.2361
Mg 3.0725 -4.3793 1.2361
Ag 3.0725 0.9879 1.2361
Ag 3.0725 -0.9879 3.7084
```

Properties
- Raw total energy: -1.9628 eV/atom
- Space group: No. 63

Record 3
Computed, not measured: a relaxed structure of Mg3Ag at the PBE level of DFT.

```
8
Lattice="3.0723 -5.3075 0.0000 3.0723 5.3075 0.0000 0.0000 0.0000 4.8833" Properties=species:S:1:pos:R:3 pbc="T T T"
Mg 1.5697 0.9044 3.6624
Mg 3.0723 3.4996 3.6624
Mg 1.5697 -0.9044 1.2208
Mg 4.5749 0.9044 3.6624
Mg 3.0723 -3.4996 1.2208
Mg 4.5749 -0.9044 1.2208
Ag 3.0723 1.7692 1.2208
Ag 3.0723 -1.7692 3.6624
```

Properties
- Raw total energy: -1.9961 eV/atom
- Space group: No. 63

Record 4
Computed, not measured: a relaxed structure of Mg54Ag17 at the PBE level of DFT.

```
71
Lattice="-7.0562 7.0916 7.3084 7.0562 -7.0916 7.3084 7.0562 7.0916 -7.3084" Properties=species:S:1:pos:R:3 pbc="T T T"
Mg 5.3832 4.5176 -4.1820
Mg 8.7291 4.5176 -4.1820
Mg 4.3923 2.6959 -1.5861
Mg 9.7201 2.6959 -1.5861
Mg 1.7693 1.5107 0.0000
Mg 12.3430 1.5107 0.0000
Mg 7.0562 1.6454 0.0000
Mg 0.0000 0.0000 2.1316
Mg 5.6135 0.0000 2.4030
Mg 8.4989 0.0000 2.4030
Mg 2.7208 5.4806 -2.6174
Mg 4.3353 -1.6110 4.6910
Mg 7.0562 4.5529 -1.5120
Mg 7.0562 -2.6023 5.8698
Mg 4.3923 2.6959 1.5861
Mg 9.7201 2.6959 1.5861
Mg 5.4895 7.0916 -2.4612
Mg 1.5666 0.0000 4.8472
Mg 4.5869 5.5537 0.0000
Mg 2.4692 -1.5379 7.3084
Mg -1.6730 2.5740 3.1263
Mg 1.6730 2.5740 3.1263
Mg 0.0000 4.4892 1.4386
Mg 7.0562 4.5529 1.5120
Mg 2.7208 8.7025 -2.6174
Mg 4.3353 1.6110 4.6910
Mg 1.6157 7.0916 0.0000
Mg 5.4405 0.0000 7.3084
Mg 2.7208 5.4806 2.6174
Mg 4.3353 -1.6110 9.9258
Mg 0.0000 2.5386 5.7963
Mg 7.0562 2.6023 5.8698
Mg 5.3832 4.5176 4.1820
Mg 8.7291 4.5176 4.1820
Mg 4.5869 8.6295 0.0000
Mg 2.4692 1.5379 7.3084
Mg 5.4895 7.0916 2.4612
Mg 1.5666 0.0000 9.7696
Mg -2.6639 4.3957 5.7222
Mg 2.6639 4.3957 5.7222
Mg 0.0000 9.6939 1.4386
Mg 0.0000 2.5386 8.8204
Mg 2.7208 8.7025 2.6174
Mg 4.3353 1.6110 9.9258
Mg -1.4427 7.0916 4.9053
Mg 1.4427 7.0916 4.9053
Mg 0.0000 0.0000 12.4852
Mg 0.0000 5.4462 7.3084
Mg -5.2869 5.5809 7.3084
Mg 5.2869 5.5809 7.3084
Mg -2.6639 4.3957 8.8945
Mg 2.6639 4.3957 8.8945
Mg -1.6730 2.5740 11.4904
Mg 1.6730 2.5740 11.4904
Ag 4.3816 0.0000 0.0000
Ag 9.7307 0.0000 0.0000
Ag 7.0562 -2.3755 3.0676
Ag 2.8347 0.0000 2.4372
Ag 11.2776 0.0000 2.4372
Ag 2.3688 4.1453 0.0000
Ag 4.6873 -2.9463 7.3084
Ag 7.0562 0.0000 4.8454
Ag 7.0562 2.3755 3.0676
Ag 0.0000 0.0000 7.3084
Ag 0.0000 4.7160 4.2408
Ag 0.0000 7.0916 2.4630
Ag 2.3688 10.0378 0.0000
Ag 4.6873 2.9463 7.3084
Ag -4.2214 7.0916 4.8711
Ag 4.2214 7.0916 4.8711
Ag 0.0000 9.4671 4.2408
```

Properties
- Raw total energy: -1.9926 eV/atom
- Space group: No. 71

Record 5
Computed, not measured: a relaxed structure of MgAgNO at the PBE level of DFT.

```
4
Lattice="3.2064 0.0000 0.0000 0.0000 3.2064 0.0000 0.0000 0.0000 4.2674" Properties=species:S:1:pos:R:3 pbc="T T T"
Mg 0.0000 0.0000 0.0000
Ag 1.6032 1.6032 2.1337
N 1.6032 1.6032 0.0000
O 0.0000 0.0000 2.1337
```

Properties
- Polymorph energy (0 for the lowest one): 0.61 eV/f.u.
- Raw total energy: -4.6490 eV/atom
- Space group: No. 123

Record 6
Computed, not measured: a relaxed structure of MgAgNO at the PBE level of DFT.

```
8
Lattice="4.1351 0.0000 0.0000 0.0000 4.1351 0.0000 0.0000 0.0000 5.8010" Properties=species:S:1:pos:R:3 pbc="T T T"
Mg 1.0338 1.0338 0.2349
Mg 3.1013 3.1013 5.5661
Ag 1.0338 3.1013 2.9005
Ag 3.1013 1.0338 2.9005
N 1.0338 1.0338 2.3943
N 3.1013 3.1013 3.4067
O 1.0338 3.1013 0.0000
O 3.1013 1.0338 0.0000
```

Properties
- Polymorph energy (0 for the lowest one): 0.03 eV/f.u.
- Raw total energy: -4.7946 eV/atom
- Space group: No. 129